(1)
An optimized crystal structure of Sr2MnAgCl8. Source: Alexandria via LeMat-Bulk, functional GGA-PBE.

Cell and atoms, written as POSCAR:
```
Sr2MnAgCl8
1.0
6.167 0.000 0.000
-0.085 6.506 0.000
-0.007 -0.001 8.618
Sr Mn Ag Cl
2 1 1 8
Cartesian
0.001 0.003 2.205
6.074 6.501 6.412
3.038 3.252 4.309
3.041 3.253 0.000
1.400 1.259 8.616
1.577 1.091 4.314
1.712 4.138 2.624
1.719 4.141 5.998
4.356 2.364 2.620
4.363 2.367 5.994
4.498 5.414 4.304
4.675 5.246 0.002
```

Calculated values
* E_form (uncorrected): -1.576 eV/atom
* VASP energy: -49.1 eV per cell



(2)
An optimized crystal structure of TiMnAg2Cl. Source: Alexandria via LeMat-Bulk, functional GGA-PBE.

Cell and atoms, written as POSCAR:
```
TiMnAg2Cl
1.0
4.949 0.000 0.000
0.000 4.949 0.000
0.000 0.000 4.473
Ti Mn Ag Cl
1 1 2 1
Cartesian
0.000 0.000 0.000
2.475 2.475 0.000
0.000 2.475 2.237
2.475 0.000 2.237
0.000 0.000 2.237
```

Calculated values
* E_form (uncorrected): 0.763 eV/atom
* VASP energy: -20.8 eV per cell



(3)
An optimized crystal structure of MnTlAg2Cl6. Source: Alexandria via LeMat-Bulk, functional GGA-PBE.

Cell and atoms, written as POSCAR:
```
MnTlAg2Cl6
1.0
6.562 0.000 0.000
-2.581 6.507 0.000
-2.838 -1.270 6.333
Mn Tl Ag Cl
1 1 2 6
Cartesian
0.000 0.000 0.000
3.862 2.432 3.044
0.680 -0.298 4.083
0.463 3.896 1.605
-1.710 0.172 4.918
-3.698 3.731 6.031
1.056 1.269 2.035
-0.246 4.207 4.060
4.812 1.470 0.102
2.889 5.015 1.374
```

Calculated values
* E_form (uncorrected): -0.756 eV/atom
* VASP energy: -35.9 eV per cell



(4)
An optimized crystal structure of Mn2Tl3AgCl8. Source: Alexandria via LeMat-Bulk, functional GGA-PBE.

Cell and atoms, written as POSCAR:
```
Mn2Tl3AgCl8
1.0
7.346 0.000 0.000
-3.673 6.362 0.000
0.000 0.000 9.091
Mn Tl Ag Cl
2 3 1 8
Cartesian
0.000 4.241 1.805
3.673 2.121 7.286
0.000 0.000 0.000
0.000 4.241 5.635
3.673 2.121 3.456
0.000 0.000 4.546
0.000 2.092 2.769
-1.861 5.316 2.769
1.812 1.046 6.322
0.000 4.241 8.601
3.673 2.121 0.491
1.861 5.316 2.769
5.534 1.046 6.322
3.673 4.270 6.322
```

Calculated values
* E_form (uncorrected): -0.947 eV/atom
* VASP energy: -56.3 eV per cell



(5)
An optimized crystal structure of MnTl2Ag2Cl6. Source: Alexandria via LeMat-Bulk, functional GGA-PBE.

Cell and atoms, written as POSCAR:
```
MnTl2Ag2Cl6
1.0
3.880 2.240 6.073
-3.880 2.240 6.073
0.000 -4.480 6.073
Mn Tl Ag Cl
1 2 2 6
Cartesian
0.000 0.000 0.000
0.000 0.000 3.979
0.000 0.000 14.242
0.000 0.000 7.557
0.000 0.000 10.663
-2.165 -1.250 10.582
0.000 -2.500 7.638
-2.165 1.250 7.638
2.165 -1.250 10.582
0.000 2.500 10.582
2.165 1.250 7.638
```

Calculated values
* E_form (uncorrected): -0.791 eV/atom
* VASP energy: -39.4 eV per cell



(6)
An optimized crystal structure of MnTl2AgCl6. Source: Alexandria via LeMat-Bulk, functional GGA-PBE.

Cell and atoms, written as POSCAR:
```
MnTl2AgCl6
1.0
7.088 0.000 0.000
0.038 7.134 0.000
3.540 3.513 5.126
Mn Tl Ag Cl
1 2 1 6
Cartesian
0.000 0.000 0.000
3.579 7.146 2.567
7.087 3.502 2.559
3.563 3.567 0.000
1.487 5.175 0.121
3.608 3.412 2.729
5.465 4.947 5.114
5.201 5.700 0.012
7.057 7.235 2.397
9.178 5.472 5.005
```

Calculated values
* E_form (uncorrected): -0.905 eV/atom
* VASP energy: -36.9 eV per cell



(7)
An optimized crystal structure of Mn2TlAgCl6. Source: Alexandria via LeMat-Bulk, functional GGA-PBE.

Cell and atoms, written as POSCAR:
```
Mn2TlAgCl6
1.0
6.750 -6.881 0.000
6.750 6.881 0.000
-1.493 0.000 6.683
Mn Tl Ag Cl
4 2 2 12
Cartesian
2.259 1.079 1.656
1.513 -1.079 4.997
10.495 1.079 1.686
9.748 -1.079 5.027
5.630 1.400 5.012
6.377 -1.400 1.671
6.377 4.042 1.671
5.630 -4.042 5.012
1.047 0.917 3.742
3.828 3.897 6.129
1.794 -0.917 0.400
4.537 1.256 2.030
7.433 3.897 3.895
3.790 -1.256 5.371
8.217 1.256 1.312
4.575 -3.897 2.787
7.470 -1.256 4.653
10.214 0.917 6.282
8.180 -3.897 0.554
10.961 -0.917 2.941
```

Calculated values
* E_form (uncorrected): -0.929 eV/atom
* VASP energy: -87.9 eV per cell



(8)
An optimized crystal structure of Mn2TlAgCl8. Source: Alexandria via LeMat-Bulk, functional GGA-PBE.

Cell and atoms, written as POSCAR:
```
Mn2TlAgCl8
1.0
6.690 0.000 0.000
-3.345 5.794 0.000
0.000 0.000 9.025
Mn Tl Ag Cl
2 1 1 8
Cartesian
0.000 3.863 2.243
3.345 1.931 6.782
0.000 0.000 4.512
0.000 0.000 0.000
-0.899 1.886 1.637
-1.262 5.630 1.637
1.184 1.722 7.388
0.000 3.863 4.446
3.345 1.931 4.579
2.161 4.072 1.637
4.607 0.164 7.388
4.244 3.908 7.388
```

Calculated values
* E_form (uncorrected): -0.833 eV/atom
* VASP energy: -48.3 eV per cell



(9)
An optimized crystal structure of MnTl3Ag3Cl8. Source: Alexandria via LeMat-Bulk, functional GGA-PBE.

Cell and atoms, written as POSCAR:
```
MnTl3Ag3Cl8
1.0
7.065 -4.065 0.000
7.065 4.065 0.000
-4.703 0.000 7.347
Mn Tl Ag Cl
1 3 3 8
Cartesian
0.000 0.000 0.000
-2.352 0.000 3.674
1.181 2.033 3.674
1.181 -2.033 3.674
3.533 2.033 0.000
3.533 -2.033 0.000
7.065 0.000 0.000
2.148 0.000 1.416
5.998 2.209 1.422
3.430 2.209 5.926
-0.001 0.000 5.882
9.429 0.000 1.466
5.998 -2.209 1.422
3.430 -2.209 5.926
7.280 0.000 5.931
```

Calculated values
* E_form (uncorrected): -0.782 eV/atom
* VASP energy: -51.3 eV per cell



(10)
An optimized crystal structure of MnTlAg2Cl8. Source: Alexandria via LeMat-Bulk, functional GGA-PBE.

Cell and atoms, written as POSCAR:
```
MnTlAg2Cl8
1.0
6.299 0.000 0.000
0.000 7.824 0.000
-0.627 0.000 6.492
Mn Tl Ag Cl
1 1 2 8
Cartesian
0.000 0.000 0.000
0.000 3.912 0.000
2.836 1.856 3.246
2.836 5.968 3.246
0.651 1.608 5.476
0.651 6.217 5.476
1.549 0.000 1.965
1.690 3.912 2.079
3.982 3.912 4.413
4.123 0.000 4.527
5.021 1.608 1.016
5.021 6.217 1.016
```

Calculated values
* E_form (uncorrected): -0.664 eV/atom
* VASP energy: -40.0 eV per cell



(11)
An optimized crystal structure of MnTlAgCl6. Source: Alexandria via LeMat-Bulk, functional GGA-PBE.

Cell and atoms, written as POSCAR:
```
MnTlAgCl6
1.0
6.769 0.000 0.000
-3.385 5.862 0.000
0.000 0.000 6.576
Mn Tl Ag Cl
1 1 1 6
Cartesian
0.000 0.000 0.000
0.000 3.908 3.288
3.385 1.954 0.000
1.870 0.090 1.335
1.013 1.575 5.241
4.899 0.090 5.241
2.527 4.198 1.335
5.756 1.575 1.335
4.242 4.198 5.241
```

Calculated values
* E_form (uncorrected): -0.798 eV/atom
* VASP energy: -32.6 eV per cell



(12)
An optimized crystal structure of MnTlAgCl4. Source: Alexandria via LeMat-Bulk, functional GGA-PBE.

Cell and atoms, written as POSCAR:
```
MnTlAgCl4
1.0
6.455 0.000 0.000
0.000 7.374 0.000
-2.077 0.000 8.402
Mn Tl Ag Cl
2 2 2 8
Cartesian
0.856 1.844 2.705
3.522 5.531 5.697
1.444 5.531 0.422
2.934 1.844 7.981
-0.099 5.531 4.334
4.477 1.844 4.069
-1.347 3.756 6.018
-1.347 7.306 6.018
2.103 1.844 0.740
1.982 1.844 4.741
2.396 5.531 3.661
2.275 5.531 7.662
5.726 0.069 2.385
5.726 3.619 2.385
```

Calculated values
* E_form (uncorrected): -0.870 eV/atom
* VASP energy: -55.7 eV per cell



(13)
An optimized crystal structure of MnV2AgCl. Source: Alexandria via LeMat-Bulk, functional GGA-PBE.

Cell and atoms, written as POSCAR:
```
MnV2AgCl
1.0
4.261 0.000 0.000
0.000 4.261 0.000
0.000 0.000 4.850
Mn V Ag Cl
1 2 1 1
Cartesian
0.000 0.000 0.000
0.000 2.130 2.425
2.130 0.000 2.425
2.130 2.130 0.000
2.130 2.130 2.425
```

Calculated values
* E_form (uncorrected): 0.899 eV/atom
* VASP energy: -27.6 eV per cell



(14)
An optimized crystal structure of MnZnAg2Cl6. Source: Alexandria via LeMat-Bulk, functional GGA-PBE.

Cell and atoms, written as POSCAR:
```
MnZnAg2Cl6
1.0
3.327 1.921 5.778
-3.327 1.921 5.778
0.000 -3.841 5.778
Mn Zn Ag Cl
1 1 2 6
Cartesian
0.000 0.000 0.000
0.000 0.000 8.665
0.000 0.000 4.752
0.000 0.000 13.473
-2.006 0.254 7.122
-1.284 -1.641 9.992
0.783 -1.865 7.122
-0.779 1.932 9.992
1.223 1.610 7.122
2.063 -0.291 9.992
```

Calculated values
* E_form (uncorrected): -0.779 eV/atom
* VASP energy: -35.0 eV per cell



(15)
An optimized crystal structure of Ag3MoCl8. Source: Alexandria via LeMat-Bulk, functional GGA-PBE.

Cell and atoms, written as POSCAR:
```
Ag3MoCl8
1.0
3.579 -5.772 0.000
3.579 5.772 0.000
0.000 0.000 8.117
Ag Mo Cl
3 1 8
Cartesian
0.000 0.000 0.000
1.789 2.886 6.238
1.789 -2.886 1.878
0.000 0.000 4.058
3.579 3.382 4.058
3.579 3.334 0.000
1.672 0.080 5.726
1.672 -0.080 2.391
5.486 0.080 2.391
5.486 -0.080 5.726
3.579 -3.334 0.000
3.579 -3.382 4.058
```

Calculated values
* E_form (uncorrected): -0.603 eV/atom
* VASP energy: -41.4 eV per cell



(16)
An optimized crystal structure of AgMoCl2. Source: Alexandria via LeMat-Bulk, functional GGA-PBE.

Cell and atoms, written as POSCAR:
```
AgMoCl2
1.0
4.721 0.000 0.000
0.000 4.721 0.000
0.000 0.000 3.579
Ag Mo Cl
1 1 2
Cartesian
0.000 0.000 0.000
2.360 2.360 0.000
0.000 2.360 1.790
2.360 0.000 1.790
```

Calculated values
* E_form (uncorrected): 0.473 eV/atom
* energy above the most stable polymorph in this dataset: 629 meV per atom
* VASP energy: -15.5 eV per cell



(17)
An optimized crystal structure of AgMoCl2. Source: Alexandria via LeMat-Bulk, functional GGA-PBE.

Cell and atoms, written as POSCAR:
```
AgMoCl2
1.0
0.000 3.463 3.463
3.463 0.000 3.463
3.463 3.463 0.000
Ag Mo Cl
1 1 2
Cartesian
0.000 0.000 0.000
3.463 3.463 3.463
1.731 1.731 1.731
5.194 5.194 5.194
```

Calculated values
* E_form (uncorrected): 0.486 eV/atom
* energy above the most stable polymorph in this dataset: 642 meV per atom
* VASP energy: -15.4 eV per cell



(18)
An optimized crystal structure of AgMoCl. Source: Alexandria via LeMat-Bulk, functional GGA-PBE.

Cell and atoms, written as POSCAR:
```
AgMoCl
1.0
4.532 0.000 0.000
-2.266 3.925 0.000
0.000 0.000 2.855
Ag Mo Cl
1 1 1
Cartesian
0.000 0.000 0.000
2.266 1.308 1.428
0.000 2.616 1.428
```

Calculated values
* E_form (uncorrected): 0.694 eV/atom
* energy above the most stable polymorph in this dataset: 531 meV per atom
* VASP energy: -13.4 eV per cell



(19)
An optimized crystal structure of AgMoCl2. Source: Alexandria via LeMat-Bulk, functional GGA-PBE.

Cell and atoms, written as POSCAR:
```
AgMoCl2
1.0
-1.490 2.238 6.523
1.490 -2.238 6.523
1.490 2.238 -6.523
Ag Mo Cl
1 1 2
Cartesian
0.000 0.000 0.000
0.000 2.238 4.041
1.490 0.000 4.306
0.000 0.000 8.556
```

Calculated values
* E_form (uncorrected): 0.171 eV/atom
* energy above the most stable polymorph in this dataset: 327 meV per atom
* VASP energy: -16.7 eV per cell



(20)
An optimized crystal structure of Ag3MoCl. Source: Alexandria via LeMat-Bulk, functional GGA-PBE.

Cell and atoms, written as POSCAR:
```
Ag3MoCl
1.0
4.989 0.000 0.000
0.000 4.989 0.000
0.000 0.000 4.989
Ag Mo Cl
3 1 1
Cartesian
0.000 0.000 2.494
0.000 2.494 0.000
2.494 0.000 0.000
2.494 2.494 2.494
0.000 0.000 0.000
```

Calculated values
* E_form (uncorrected): 1.266 eV/atom
* energy above the most stable polymorph in this dataset: 0 meV per atom
* VASP energy: -14.9 eV per cell